## LaTb3Ho6 (PBE)

Data for LaTb3Ho6 after structural relaxation.

Structure (POSCAR):
```
LaTb3Ho6
1.0
4.7371 -7.6667 0.0000
4.7371 7.6667 0.0000
0.0000 0.0000 8.9400
La Tb Ho
2 6 12
direct
0.2249 0.7751 0.5000
0.7751 0.2249 0.0000
0.0298 0.3140 0.4244
0.3140 0.0298 0.9244
0.4529 0.5471 0.4070
0.5471 0.4529 0.9070
0.6860 0.9702 0.4244
0.9702 0.6860 0.9244
0.0525 0.9475 0.2762
0.1737 0.4721 0.7634
0.1854 0.3052 0.0935
0.2878 0.7122 0.1355
0.3052 0.1854 0.5935
0.4721 0.1737 0.2634
0.5279 0.8263 0.7634
0.6948 0.8146 0.0935
0.7122 0.2878 0.6355
0.8146 0.6948 0.5935
0.8263 0.5279 0.2634
0.9475 0.0525 0.7762
```

Computed properties:
Formation energy from the elements: 0.1361 eV/atom
Energy above the most stable polymorph in this dataset: 0.000 eV per atom
M_tot: 0.000 μB per atom

=====

## SiAgAu (PBE)

Data for SiAgAu after structural relaxation.

Structure (POSCAR):
```
SiAgAu
1.0
4.3953 0.0000 0.0000
-2.1976 3.8064 0.0000
0.0000 0.0000 3.1475
Si Ag Au
1 1 1
direct
0.0000 0.0000 0.0000
0.6667 0.3333 0.5000
0.3333 0.6667 0.0000
```

Computed properties:
Formation energy (no corrections): 0.13 eV/atom
Energy above the most stable polymorph in this dataset: 0.022 eV per atom
M_tot: 0.000 μB per atom

=====

## Ac8PrNd5 (PBE)

Data for Ac8PrNd5 after structural relaxation.

Structure (POSCAR):
```
Ac8PrNd5
1.0
9.0804 0.0000 0.0000
0.4970 9.0779 0.0000
4.4301 4.0321 7.1487
Ac Pr Nd
8 1 5
direct
0.0000 0.0000 0.0000
0.0719 0.6988 0.3791
0.1923 0.1926 0.2124
0.3211 0.6957 0.9212
0.3951 0.3507 0.4289
0.4920 0.8396 0.3189
0.6043 0.5169 0.6420
0.7967 0.7647 0.8382
0.9086 0.2426 0.6197
0.1284 0.4717 0.7896
0.4757 0.0646 0.8826
0.6917 0.2908 0.0230
0.7158 0.0360 0.4514
0.8733 0.4799 0.2198
```

Computed properties:
Formation energy from the elements: 0.1228 eV/atom
M_tot: 0.000 μB per atom

=====

## BaPdF2 (PBE)

Data for BaPdF2 after structural relaxation.

Structure (POSCAR):
```
BaPdF2
1.0
2.2662 1.3084 5.3555
-2.2662 1.3084 5.3555
0.0000 -2.6168 5.3555
Ba Pd F
1 1 2
direct
0.0000 0.0000 0.0000
0.5000 0.5000 0.5000
0.3704 0.3704 0.3704
0.6296 0.6296 0.6296
```

Computed properties:
Formation energy (no corrections): -2.26 eV/atom
Energy above the most stable polymorph in this dataset: 0.000 eV per atom
M_tot: 0.000 μB per atom

=====

## IrAuBr2 (PBE)

Data for IrAuBr2 after structural relaxation.

Structure (POSCAR):
```
IrAuBr2
1.0
1.4718 0.8497 12.2165
-1.4718 0.8497 12.2165
0.0000 -1.6995 12.2165
Ir Au Br
1 1 2
direct
0.0000 0.0000 0.0000
0.5000 0.5000 0.5000
0.0654 0.0654 0.0654
0.9346 0.9346 0.9346
```

Computed properties:
Formation energy (no corrections): 0.44 eV/atom
Energy above the most stable polymorph in this dataset: 0.330 eV per atom
M_tot: 0.119 μB per atom

=====

## NdZn2GaAg2 (PBE)

Data for NdZn2GaAg2 after structural relaxation.

Structure (POSCAR):
```
NdZn2GaAg2
1.0
4.6780 0.0000 0.0000
0.0000 4.6780 0.0000
0.0000 0.0000 5.9135
Nd Zn Ga Ag
1 2 1 2
direct
0.0000 0.0000 0.0000
0.0000 0.5000 0.5000
0.5000 0.0000 0.5000
0.0000 0.0000 0.5000
0.5000 0.5000 0.2330
0.5000 0.5000 0.7670
```

Computed properties:
Formation energy from the elements: 0.0111 eV/atom
M_tot: 0.000 μB per atom

=====

## LaOsBr (PBE)

Data for LaOsBr after structural relaxation.

Structure (POSCAR):
```
LaOsBr
1.0
3.6145 0.0000 0.0000
-1.8072 3.1302 0.0000
0.0000 0.0000 7.0515
La Os Br
1 1 1
direct
0.0000 0.0000 0.0000
0.6667 0.3333 0.2872
0.3333 0.6667 0.6733
```

Computed properties:
Formation energy (no corrections): 0.37 eV/atom
Energy above the most stable polymorph in this dataset: 1.372 eV per atom
M_tot: 0.098 μB per atom

=====

## TiZn2OsPb (PBE)

Data for TiZn2OsPb after structural relaxation.

Structure (POSCAR):
```
TiZn2OsPb
1.0
4.7542 0.0000 0.0000
0.0000 4.7542 0.0000
0.0000 0.0000 5.1386
Ti Zn Os Pb
1 2 1 1
direct
0.0000 0.0000 0.0000
0.0000 0.5000 0.5000
0.5000 0.0000 0.5000
0.5000 0.5000 0.5000
0.5000 0.5000 0.0000
```

Computed properties:
Formation energy from the elements: 0.9039 eV/atom
M_tot: 0.000 μB per atom